Record 1
Ba2PRhI PBE-GGA optimized geometry; total magnetic moment = 0.00 Bohr magnetons per cell
1.0
-4.9050 -2.8747 2.6815
2.8272 0.3996 5.6000
-1.9072 3.8933 0.6850
I P Rh Ba
1 1 1 2
direct
0.5000 0.5000 0.5000
0.0000 0.0000 0.0000
0.0000 0.0000 0.5000
0.0000 0.5000 0.0000
0.5000 0.0000 0.0000

---

Record 2
PmSiNi PBE-GGA optimized geometry; total magnetic moment = 0.00 Bohr magnetons per cell
1.0
3.5414 0.0000 0.0000
0.0000 4.2993 0.0000
-1.7707 -2.1497 4.0102
Pm Si Ni
1 1 1
direct
0.9958 0.9958 0.9916
0.6440 0.6440 0.2880
0.3602 0.3602 0.7203

---

Number 1: raw formation energy -981 meV/atom. Number 2: raw formation energy -89 meV/atom.